Material: Li7Ir3Rh
Method: DFT, GGA-PBE
State: optimized geometry

Cell lengths 5.3054, 5.3054, 6.6739 Å; angles 90.00, 90.00, 120.00 degrees
Space group P3m1 (No. 156)
Asymmetric unit:
Li1 0.0000 0.0000 0.0000
Li2 0.1714 0.3429 0.6498
Li3 0.5036 0.0072 0.0301
Ir1 0.3267 0.1634 0.3426
Rh1 0.6667 0.3333 0.6639

Summary:
energy: -4.288 eV/atom
size of the total moment: 0.000 μB/f.u.

---

Material: ScRuPb2
Method: DFT, GGA-PBE
State: optimized geometry

Cell lengths 12.628, 3.286, 4.739 Å; angles 90.00, 111.91, 90.00 degrees
Space group Cm (No. 8)
Asymmetric unit:
Sc1 0.000 0.000 0.000
Ru1 0.179 0.500 0.177
Pb1 0.193 0.000 0.692
Pb2 0.404 0.000 0.404

Summary:
energy above the lowest structure with this stoichiometry: 130.7 meV per atom
size of the total moment: 0.000 μB/f.u.

---

Material: Co4Ag
Method: DFT, GGA-PBE
State: optimized geometry

Cell lengths 4.574, 4.574, 4.574 Å; angles 90.00, 90.00, 90.00 degrees
Space group Pm-3m (No. 221)
Asymmetric unit:
Co1 0.000 0.000 0.000
Co2 0.000 0.500 0.500
Ag1 0.500 0.500 0.500

Summary:
energy above the lowest structure with this stoichiometry: 1744.4 meV per atom
size of the total moment: 7.900 μB/f.u.

---

Material: Ti3MnI
Method: DFT, GGA-PBE
State: optimized geometry

Cell lengths 4.594, 4.594, 4.594 Å; angles 90.00, 90.00, 90.00 degrees
Space group Pm-3m (No. 221)
Asymmetric unit:
Ti1 0.000 0.000 0.500
Mn1 0.000 0.000 0.000
I1 0.500 0.500 0.500

Summary:
E_form (uncorrected): 0.3974 eV per atom
energy above the lowest structure with this stoichiometry: 0.0 meV per atom
size of the total moment: 0.000 μB/f.u.

---

Material: HoNpSi4
Method: DFT, GGA-PBE
State: optimized geometry

Cell lengths 8.268, 14.502, 3.837 Å; angles 90.00, 90.00, 90.00 degrees
Space group Pbam (No. 55)
Asymmetric unit:
Ho1 0.076 0.137 0.000
Np1 0.099 0.433 0.000
Si1 0.008 0.288 0.500
Si2 0.132 0.969 0.500
Si3 0.165 0.582 0.500
Si4 0.213 0.814 0.500

Summary:
E_form (uncorrected): -0.2623 eV per atom
size of the total moment: 2.671 μB/f.u.

---

Material: YSi2I
Method: DFT, GGA-PBE
State: optimized geometry

Cell lengths 4.540, 4.540, 22.110 Å; angles 90.00, 90.00, 90.00 degrees
Space group I-42d (No. 122)
Asymmetric unit:
Y1 0.000 0.000 0.000
Si1 0.056 0.250 0.125
I1 0.000 0.000 0.500

Summary:
E_form (uncorrected): 0.0642 eV per atom
energy above the lowest structure with this stoichiometry: 0.0 meV per atom
size of the total moment: 0.000 μB/f.u.